[1]
ScAsSeBr2: relaxed, GGA-PBE.

Values from the calculation:
Uncorrected formation energy (eV/f.u.): -0.020
Space-group type: P4/mmm (123)
Total moment (μB/atom): 0.212
DOS(E_F) (states/eV/cell): 7.106
E_tot (eV for the cell shown): -17.83
ρ (g cm⁻³): 4.2

Geometry as POSCAR:
```
ScAsSeBr2
1.0
5.150 0.000 0.000
0.000 5.150 0.000
0.000 0.000 5.350
Sc As Se Br
1 1 1 2
direct
0.000 0.000 0.000
0.500 0.500 0.500
0.500 0.500 0.000
0.000 0.500 0.500
0.500 0.000 0.500
```

***

[2]
ScAs2SeBr: relaxed, GGA-PBE.

Values from the calculation:
Uncorrected formation energy (eV/f.u.): 0.535
Space-group type: P4/mmm (123)
Total moment (μB/atom): 0.000
DOS(E_F) (states/eV/cell): 3.873
E_tot (eV for the cell shown): -20.25
ρ (g cm⁻³): 4.2

Geometry as POSCAR:
```
ScAs2SeBr
1.0
5.283 0.000 0.000
0.000 5.283 0.000
0.000 0.000 4.954
Sc As Se Br
1 2 1 1
direct
0.000 0.000 0.000
0.000 0.500 0.000
0.500 0.000 0.000
0.500 0.500 0.500
0.000 0.000 0.500
```

***

[3]
ScAs2SeBr: relaxed, GGA-PBE.

Values from the calculation:
Uncorrected formation energy (eV/f.u.): 1.871
Space-group type: P4/mmm (123)
Total moment (μB/atom): 0.000
DOS(E_F) (states/eV/cell): 4.108
E_tot (eV for the cell shown): -18.92
ρ (g cm⁻³): 4.5

Geometry as POSCAR:
```
ScAs2SeBr
1.0
5.070 0.000 0.000
0.000 5.070 0.000
0.000 0.000 5.035
Sc As Se Br
1 2 1 1
direct
0.000 0.000 0.000
0.000 0.500 0.500
0.500 0.000 0.500
0.500 0.500 0.500
0.500 0.500 0.000
```

***

[4]
ScAsSeBr2: relaxed, GGA-PBE.

Values from the calculation:
Uncorrected formation energy (eV/f.u.): -2.294
Space-group type: P4/mmm (123)
Total moment (μB/atom): 0.400
DOS(E_F) (states/eV/cell): 1.354
E_tot (eV for the cell shown): -20.11
ρ (g cm⁻³): 4.1

Geometry as POSCAR:
```
ScAsSeBr2
1.0
5.174 0.000 0.000
0.000 5.174 0.000
0.000 0.000 5.478
Sc As Se Br
1 1 1 2
direct
0.000 0.000 0.000
0.500 0.500 0.500
0.000 0.000 0.500
0.000 0.500 0.000
0.500 0.000 0.000
```

***

[5]
ScSiAsBr2: relaxed, GGA-PBE.

Values from the calculation:
Uncorrected formation energy (eV/f.u.): 0.325
Space-group type: P4/mmm (123)
Total moment (μB/atom): 0.093
DOS(E_F) (states/eV/cell): 2.988
E_tot (eV for the cell shown): -19.42
ρ (g cm⁻³): 4.1

Geometry as POSCAR:
```
ScSiAsBr2
1.0
4.962 0.000 0.000
0.000 4.962 0.000
0.000 0.000 5.119
Sc Si As Br
1 1 1 2
direct
0.000 0.000 0.000
0.500 0.500 0.500
0.500 0.500 0.000
0.000 0.500 0.500
0.500 0.000 0.500
```

***

[6]
ScSiAsBr2: relaxed, GGA-PBE.

Values from the calculation:
Uncorrected formation energy (eV/f.u.): -0.490
Space-group type: P4/mmm (123)
Total moment (μB/atom): 0.000
DOS(E_F) (states/eV/cell): 2.076
E_tot (eV for the cell shown): -20.24
ρ (g cm⁻³): 3.6

Geometry as POSCAR:
```
ScSiAsBr2
1.0
5.084 0.000 0.000
0.000 5.084 0.000
0.000 0.000 5.523
Sc Si As Br
1 1 1 2
direct
0.000 0.000 0.000
0.500 0.500 0.500
0.000 0.000 0.500
0.000 0.500 0.000
0.500 0.000 0.000
```